Below is an optimized crystal structure of BaLa2Mn, with properties calculated at the PBE level.

The crystal system is cubic.

The space group is Fm-3m (No. 225) and the conventional cell measures 7.733, 7.733 and 7.733 Å, with angles of 90.00, 90.00 and 90.00 degrees. Symmetry generates all atoms from Ba at (0.000, 0.000, 0.000), La at (0.250, 0.250, 0.250) and Mn at (0.000, 0.000, 0.500).

---

Below is an optimized crystal structure of BaLa2Mn, with properties calculated at the PBE level.

The crystal system is trigonal.

The space group is R-3m (No. 166, hexagonal axes) and the conventional cell measures 4.1076, 4.1076 and 30.9487 Å, with angles of 90.00, 90.00 and 120.00 degrees. Symmetry generates all atoms from Ba at (0.0000, 0.0000, 0.0000), La at (0.0000, 0.0000, 0.2196) and Mn at (0.0000, 0.0000, 0.5000).

---

Number 1: magnetization 0.000 μB per formula unit, energy of formation from the pure elements 0.753 eV/atom. Number 2: magnetization 1.493 μB per formula unit, energy of formation from the pure elements 0.330 eV/atom.